# CaTlCo2Pt, optimized geometry, DFT GGA-PBE
data_CaTlCo2Pt
_chemical_formula_sum 'Ca1 Tl1 Co2 Pt1'
_cell_length_a 4.819
_cell_length_b 4.819
_cell_length_c 5.117
_cell_angle_alpha 90.00
_cell_angle_beta 90.00
_cell_angle_gamma 90.00
_symmetry_space_group_name_H-M 'P 4/m m m'
_symmetry_Int_Tables_number 123
_symmetry_space_group_name_Hall '-P 4 2'
loop_
_atom_site_label
_atom_site_type_symbol
_atom_site_fract_x
_atom_site_fract_y
_atom_site_fract_z
Ca1 Ca 0.000 0.000 0.000
Tl1 Tl 0.500 0.500 0.000
Co1 Co 0.000 0.500 0.500
Pt1 Pt 0.500 0.500 0.500
# Density of states at the Fermi level   4.9 states/eV/cell
# E   -4.416 eV/atom
# Energy of formation   0.51 eV per atom